(1)
## Ba2NaTl2 (GGA-PBEsol)

Data for a geometry-optimized Ba2NaTl2 structure.

The structure in CIF format:
```
data_Ba2NaTl2
_space_group_name_H-M_alt 'P 4/m b m'
_space_group_IT_number 127
_space_group_name_Hall '-P 4 2ab'
_cell_length_a 9.633
_cell_length_b 9.633
_cell_length_c 4.148
_cell_angle_alpha 90.00
_cell_angle_beta 90.00
_cell_angle_gamma 90.00
loop_
_atom_site_label
_atom_site_type_symbol
_atom_site_fract_x
_atom_site_fract_y
_atom_site_fract_z
Ba1 Ba 0.172 0.328 0.000
Na1 Na 0.000 0.000 0.500
Tl1 Tl 0.124 0.624 0.500
```

DFT formation energy in eV per atom: -0.30
N(E_F) in states/eV per cell: 7.61

=====

(2)
## Ba2Na2Tl (GGA-PBEsol)

Data for a geometry-optimized Ba2Na2Tl structure.

The structure in CIF format:
```
data_Ba2Na2Tl
_space_group_name_H-M_alt 'I 4/m m m'
_space_group_IT_number 139
_space_group_name_Hall '-I 4 2'
_cell_length_a 4.356
_cell_length_b 4.356
_cell_length_c 21.859
_cell_angle_alpha 90.00
_cell_angle_beta 90.00
_cell_angle_gamma 90.00
loop_
_atom_site_label
_atom_site_type_symbol
_atom_site_fract_x
_atom_site_fract_y
_atom_site_fract_z
Ba1 Ba 0.000 0.000 0.088
Na1 Na 0.000 0.500 0.250
Tl1 Tl 0.000 0.000 0.500
```

DFT formation energy in eV per atom: -0.12
N(E_F) in states/eV per cell: 6.49